# 1
! SrFeOs2 GGA-PBE optimized geometry; values from VASP
&SYSTEM
  ibrav = 0, nat = 4, ntyp = 3
/
ATOMIC_SPECIES
Fe 55.84 Fe.upf
Os 190.23 Os.upf
Sr 87.62 Sr.upf
CELL_PARAMETERS angstrom
5.402 0.080 0.000
-2.255 4.910 0.000
0.000 0.000 2.596
ATOMIC_POSITIONS crystal
Fe 0.000 0.500 0.500
Os 0.000 0.000 0.000
Os 0.500 0.500 0.000
Sr 0.500 0.000 0.500
! Total moment = 2.70 Bohr magnetons per cell
! ΔH_f (0 K) = 1093.8 meV/atom
! Fermi-level density of states = 1.040 states/eV per atom
! Relative energy among the computed polymorphs = 0.799 eV/atom
! Symmetry = Cmmm
! V = 17.3 Å³/atom


# 2
! SrFeOs2 GGA-PBE optimized geometry; values from VASP
&SYSTEM
  ibrav = 0, nat = 4, ntyp = 3
/
ATOMIC_SPECIES
Fe 55.84 Fe.upf
Os 190.23 Os.upf
Sr 87.62 Sr.upf
CELL_PARAMETERS angstrom
2.970 0.000 0.000
0.000 2.970 0.000
0.000 0.000 7.887
ATOMIC_POSITIONS crystal
Fe 0.500 0.500 0.750
Os 0.000 0.000 0.930
Os 0.000 0.000 0.570
Sr 0.500 0.500 0.250
! Total moment = 2.01 Bohr magnetons per cell
! ΔH_f (0 K) = 644.3 meV/atom
! Fermi-level density of states = 0.963 states/eV per atom
! Relative energy among the computed polymorphs = 0.350 eV/atom
! Symmetry = P4/mmm
! V = 17.4 Å³/atom


# 3
! SrFe2Os GGA-PBE optimized geometry; values from VASP
&SYSTEM
  ibrav = 0, nat = 4, ntyp = 3
/
ATOMIC_SPECIES
Fe 55.84 Fe.upf
Os 190.23 Os.upf
Sr 87.62 Sr.upf
CELL_PARAMETERS angstrom
4.737 0.094 0.000
-0.087 4.737 0.000
0.000 0.000 2.911
ATOMIC_POSITIONS crystal
Fe 0.000 0.000 0.000
Fe 0.500 0.500 0.000
Os 0.500 0.000 0.500
Sr 0.000 0.500 0.500
! Total moment = 5.21 Bohr magnetons per cell
! ΔH_f (0 K) = 885.1 meV/atom
! Fermi-level density of states = 1.190 states/eV per atom
! Relative energy among the computed polymorphs = 0.543 eV/atom
! Symmetry = Cmmm
! V = 16.3 Å³/atom


# 4
! SrFeOs2 GGA-PBE optimized geometry; values from VASP
&SYSTEM
  ibrav = 0, nat = 4, ntyp = 3
/
ATOMIC_SPECIES
Fe 55.84 Fe.upf
Os 190.23 Os.upf
Sr 87.62 Sr.upf
CELL_PARAMETERS angstrom
4.585 0.000 0.000
2.293 3.971 0.000
2.293 1.324 3.744
ATOMIC_POSITIONS crystal
Fe 0.500 0.500 0.500
Os 0.000 0.000 0.000
Os 0.250 0.250 0.250
Sr 0.750 0.750 0.750
! Total moment = 2.74 Bohr magnetons per cell
! ΔH_f (0 K) = 1005.2 meV/atom
! Fermi-level density of states = 0.924 states/eV per atom
! Relative energy among the computed polymorphs = 0.711 eV/atom
! Symmetry = F-43m
! V = 17.0 Å³/atom


# 5
! SrFeOs2 GGA-PBE optimized geometry; values from VASP
&SYSTEM
  ibrav = 0, nat = 4, ntyp = 3
/
ATOMIC_SPECIES
Fe 55.84 Fe.upf
Os 190.23 Os.upf
Sr 87.62 Sr.upf
CELL_PARAMETERS angstrom
9.828 -0.012 -0.007
9.433 2.761 -0.007
9.433 1.346 2.410
ATOMIC_POSITIONS crystal
Fe 0.750 0.750 0.750
Os 0.014 0.014 0.014
Os 0.486 0.486 0.486
Sr 0.250 0.250 0.250
! Total moment = 2.43 Bohr magnetons per cell
! ΔH_f (0 K) = 859.1 meV/atom
! Fermi-level density of states = 1.029 states/eV per atom
! Relative energy among the computed polymorphs = 0.564 eV/atom
! Symmetry = R-3m
! V = 16.5 Å³/atom


# 6
! Sr2Fe4Os GGA-PBE optimized geometry; values from VASP
&SYSTEM
  ibrav = 0, nat = 7, ntyp = 3
/
ATOMIC_SPECIES
Sr 87.62 Sr.upf
Os 190.23 Os.upf
Fe 55.84 Fe.upf
CELL_PARAMETERS angstrom
4.743 0.000 0.000
0.000 4.743 0.000
2.372 2.372 7.863
ATOMIC_POSITIONS crystal
Sr 0.641 0.641 0.717
Sr 0.359 0.359 0.283
Os 0.000 0.000 0.000
Fe 0.853 0.853 0.295
Fe 0.147 0.147 0.705
Fe 0.000 0.500 0.000
Fe 0.500 0.000 0.000
! Total moment = 11.55 Bohr magnetons per cell
! ΔH_f (0 K) = 936.5 meV/atom
! Fermi-level density of states = 1.399 states/eV per atom
! Symmetry = I4/mmm
! V = 25.3 Å³/atom


# 7
! SrFe2Os GGA-PBE optimized geometry; values from VASP
&SYSTEM
  ibrav = 0, nat = 8, ntyp = 3
/
ATOMIC_SPECIES
Sr 87.62 Sr.upf
Os 190.23 Os.upf
Fe 55.84 Fe.upf
CELL_PARAMETERS angstrom
-3.643 -3.019 0.749
0.888 0.096 4.707
-6.339 4.726 3.539
ATOMIC_POSITIONS crystal
Sr 0.500 0.500 0.000
Sr 0.250 0.750 0.500
Os 0.000 0.000 0.000
Os 0.750 0.250 0.500
Fe 0.875 0.125 0.250
Fe 0.875 0.625 0.250
Fe 0.375 0.125 0.750
Fe 0.875 0.125 0.750
! Total moment = 7.13 Bohr magnetons per cell
! ΔH_f (0 K) = 822.1 meV/atom
! Fermi-level density of states = 1.556 states/eV per atom
! Relative energy among the computed polymorphs = 0.480 eV/atom
! Symmetry = I4_1/amd
! V = 22.9 Å³/atom


# 8
! SrFe2Os GGA-PBE optimized geometry; values from VASP
&SYSTEM
  ibrav = 0, nat = 4, ntyp = 3
/
ATOMIC_SPECIES
Fe 55.84 Fe.upf
Os 190.23 Os.upf
Sr 87.62 Sr.upf
CELL_PARAMETERS angstrom
-0.206 9.432 0.299
-3.023 8.935 0.350
-1.518 8.890 2.783
ATOMIC_POSITIONS crystal
Fe 0.983 0.983 0.983
Fe 0.253 0.253 0.253
Os 0.515 0.515 0.515
Sr 0.749 0.749 0.749
! Total moment = 4.71 Bohr magnetons per cell
! ΔH_f (0 K) = 876.3 meV/atom
! Fermi-level density of states = 1.116 states/eV per atom
! Relative energy among the computed polymorphs = 0.535 eV/atom
! Symmetry = R3m
! V = 16.5 Å³/atom


Which of these has the lowest ΔH_f (0 K)?
number 2